A relaxed structure of TiZnAu3, computed with PBE.

POSCAR file:
```
TiZnAu3
1.0
5.0309 0.0000 0.0000
0.0000 5.0309 0.0000
0.0000 0.0000 5.0309
Zn Ti Au
1 1 3
Cartesian
2.5154 2.5154 2.5154
0.0000 0.0000 0.0000
2.5154 0.0000 0.0000
0.0000 2.5154 0.0000
0.0000 0.0000 2.5154
```

Values from the calculation:
- crystal system = cubic
- DFT formation energy (meV/atom) = 665
- energy relative to the lowest polymorph listed for this composition (meV per atom) = 930
- total energy (eV per cell) = -15.7

A relaxed structure of YTh2In, computed with PBE.

POSCAR file:
```
YTh2In
1.0
-2.1146 -0.5114 5.3153
-5.0911 -2.4123 -2.2575
2.6928 -6.3347 0.4619
Th In Y
4 2 2
Cartesian
-1.3215 -6.8657 3.4681
-5.8512 -3.2353 2.0153
1.3382 -6.0231 1.5044
-3.1914 -2.3927 0.0516
0.0229 -2.8278 1.2885
-4.5359 -6.4306 2.2312
-2.5464 -3.6724 3.2880
-1.9665 -5.5860 0.2317
```

Values from the calculation:
- crystal system = monoclinic
- DFT formation energy (meV/atom) = -67
- energy relative to the lowest polymorph listed for this composition (meV per atom) = 126
- total energy (eV per cell) = -48.6

A relaxed structure of CsMoPd3, computed with PBE.

POSCAR file:
```
CsMoPd3
1.0
5.0210 0.0000 0.0000
0.0000 5.0210 0.0000
0.0000 0.0000 5.0210
Pd Cs Mo
3 1 1
Cartesian
0.0000 0.0000 2.5105
0.0000 2.5105 0.0000
2.5105 0.0000 0.0000
2.5105 2.5105 2.5105
0.0000 0.0000 0.0000
```

Values from the calculation:
- crystal system = cubic
- DFT formation energy (meV/atom) = 808
- energy relative to the lowest polymorph listed for this composition (meV per atom) = 0
- total energy (eV per cell) = -23.2

A relaxed structure of Ac2P3Au2, computed with PBE.

POSCAR file:
```
Ac2P3Au2
1.0
-2.8733 -3.1981 -0.4381
3.6054 -6.6568 3.6338
-5.0621 0.4487 8.6093
Ac P Au
4 6 4
Cartesian
0.5661 -6.7573 2.9864
-4.8960 -2.6489 8.8186
-2.0757 -1.4881 3.1621
-2.2542 -7.9181 8.6429
-3.6078 -3.2975 5.1043
-0.7221 -6.1087 6.7007
-3.1164 -3.1275 0.6406
-1.2135 -6.2787 11.1645
0.3513 -3.6897 3.3161
-4.6812 -5.7165 8.4889
-2.4390 -4.7299 7.8951
-1.8910 -4.6763 3.9099
-2.3958 -1.6607 6.5217
-1.9341 -7.7455 5.2833
```

Values from the calculation:
- crystal system = monoclinic
- DFT formation energy (meV/atom) = -870
- total energy (eV per cell) = -74.2

A relaxed structure of MnAlTc2, computed with PBE.

POSCAR file:
```
MnAlTc2
1.0
6.9416 0.0000 0.0000
0.0000 6.9416 0.0000
3.4708 3.4708 2.5199
Mn Al Tc
2 2 4
Cartesian
6.9416 3.4708 1.2600
0.0000 0.0000 0.0000
3.4708 6.9416 1.2600
3.4708 3.4708 0.0000
8.6770 9.0446 1.8899
5.2062 4.8386 1.8899
1.3678 5.2062 0.6300
5.5738 1.7354 0.6300
```

Values from the calculation:
- crystal system = tetragonal
- DFT formation energy (meV/atom) = 422
- total energy (eV per cell) = -63.9

A relaxed structure of Tm2PSe, computed with PBE.

POSCAR file:
```
Tm2PSe
1.0
-1.1202 3.0292 2.2016
-3.1817 2.0518 -0.9722
-5.3073 -2.5075 4.2194
Tm Se P
2 1 1
Cartesian
-2.2951 0.7596 1.2568
-4.4494 -1.5770 3.3757
-4.8196 1.2704 2.7393
-8.1568 0.8998 5.0210
```

Values from the calculation:
- crystal system = trigonal
- formation energy without anion corrections (eV per atom) = -1.68
- energy relative to the lowest polymorph listed for this composition (meV per atom) = 62
- total energy (eV per cell) = -24.6

A relaxed structure of Y5Tm6Th, computed with PBE.

POSCAR file:
```
Y5Tm6Th
1.0
9.2145 1.0983 -1.2281
-3.9233 8.4095 -1.2281
-0.5859 -1.0528 4.8576
Y Tm Th
5 6 1
Cartesian
4.8294 3.5386 -1.2281
-2.0389 6.6714 1.2007
2.3526 4.2275 1.2007
6.7442 1.7836 1.2007
0.4618 5.9692 -1.2281
0.8678 1.5595 3.0215
3.8374 6.8956 -0.6201
1.3668 7.5605 1.8045
3.3384 0.8945 0.5968
-0.9994 3.3085 0.5968
5.7047 5.1465 1.8045
0.0000 0.0000 0.0000
```

Values from the calculation:
- crystal system = orthorhombic
- DFT formation energy (meV/atom) = 32
- total energy (eV per cell) = -66.2

A relaxed structure of Rb2GePdS4, computed with PBE.

POSCAR file:
```
Rb2GePdS4
1.0
-3.4799 0.1586 5.6516
-8.0483 -1.1528 -1.0239
-0.3967 -10.2918 3.9440
S Pd Rb Ge
8 2 4 2
Cartesian
-3.7147 -0.8047 3.5038
-2.6201 -9.8086 4.5917
-8.8791 -6.4840 6.4936
-7.2439 -5.2027 3.4039
-9.8782 -10.4053 7.7770
-3.1177 -4.7987 2.1950
-7.6368 -1.5533 1.2711
-4.6090 -6.0865 5.0510
-6.8324 -5.6033 5.6988
0.0000 0.0000 0.0000
-7.2801 -2.1468 5.3261
-3.0322 -3.2978 6.0243
-0.8444 -6.8354 3.5713
-6.3847 -9.0598 6.0714
-5.0925 -5.6826 2.8730
-1.7399 0.0793 2.8258
```

Values from the calculation:
- crystal system = orthorhombic
- formation energy without anion corrections (eV per atom) = -0.67
- total energy (eV per cell) = -67.2

A relaxed structure of Y2CrInAg, computed with PBE.

POSCAR file:
```
Y2CrInAg
1.0
-4.3742 0.9134 -2.3649
0.0694 -4.7391 -1.9586
-2.5343 -1.7026 4.0298
In Y Ag Cr
1 2 1 1
Cartesian
0.0347 -2.3695 -0.9793
-2.1871 0.4567 -1.1825
-1.2671 -0.8513 2.0149
-3.4195 -2.7642 -0.1469
0.0000 0.0000 0.0000
```

Values from the calculation:
- crystal system = tetragonal
- DFT formation energy (meV/atom) = 347
- total energy (eV per cell) = -26.4

A relaxed structure of CsZr2ScN, computed with PBE.

POSCAR file:
```
CsZr2ScN
1.0
5.5087 0.0000 0.0000
0.0000 5.5087 0.0000
0.0000 0.0000 4.3495
Zr Cs Sc N
2 1 1 1
Cartesian
2.7543 0.0000 0.0000
0.0000 2.7543 0.0000
0.0000 0.0000 0.0000
2.7543 2.7543 2.1748
0.0000 0.0000 2.1748
```

Values from the calculation:
- crystal system = tetragonal
- formation energy without anion corrections (eV per atom) = 2.17
- total energy (eV per cell) = -21.8

A relaxed structure of Zn2MoOs, computed with PBE.

POSCAR file:
```
Zn2MoOs
1.0
0.0000 3.0558 3.0558
3.0558 0.0000 3.0558
3.0558 3.0558 0.0000
Mo Zn Os
1 2 1
Cartesian
0.0000 0.0000 0.0000
1.5279 1.5279 1.5279
4.5837 4.5837 4.5837
3.0558 3.0558 3.0558
```

Values from the calculation:
- crystal system = cubic
- DFT formation energy (meV/atom) = 393
- energy relative to the lowest polymorph listed for this composition (meV per atom) = 346
- total energy (eV per cell) = -23.0

A relaxed structure of Tl2SeN, computed with PBE.

POSCAR file:
```
Tl2SeN
1.0
0.0000 3.7013 3.7013
3.7013 0.0000 3.7013
3.7013 3.7013 0.0000
N Tl Se
1 2 1
Cartesian
0.0000 0.0000 0.0000
5.5519 5.5519 5.5519
1.8506 1.8506 1.8506
3.7013 3.7013 3.7013
```

Values from the calculation:
- crystal system = cubic
- formation energy without anion corrections (eV per atom) = 0.92
- total energy (eV per cell) = -12.8

no.,magnetic moment (μB/cell)
1,0.8
2,0.0
3,0.0
4,0.0
5,0.0
6,0.0
7,0.0
8,0.0
9,0.9
10,1.8
11,0.4
12,2.7